NdO2 | PBEsol | optimized geometry

Summary:
Magnetization, μB per formula unit: 1.0

Cell: 3.956 3.956 3.956 Å, 60.00 60.00 60.00°
Atoms (fractional coordinates):
1 Nd 0.000 0.000 0.000
2 O 0.250 0.250 0.250
3 O 0.750 0.750 0.750


Nd2O3 | PBEsol | optimized geometry

Summary:
Magnetization, μB per formula unit: 0.0

Cell: 9.569 9.569 9.569 Å, 109.47 109.47 109.47°
Atoms (fractional coordinates):
1 Nd 0.000 0.000 0.500
2 Nd 0.000 0.500 0.000
3 Nd 0.031 0.750 0.781
4 Nd 0.219 0.969 0.250
5 Nd 0.250 0.219 0.969
6 Nd 0.250 0.719 0.469
7 Nd 0.281 0.531 0.750
8 Nd 0.469 0.250 0.719
9 Nd 0.500 0.000 0.000
10 Nd 0.500 0.500 0.500
11 Nd 0.531 0.750 0.281
12 Nd 0.719 0.469 0.250
13 Nd 0.750 0.281 0.531
14 Nd 0.750 0.781 0.031
15 Nd 0.781 0.031 0.750
16 Nd 0.969 0.250 0.219
17 O 0.012 0.040 0.271
18 O 0.028 0.488 0.759
19 O 0.040 0.271 0.012
20 O 0.229 0.269 0.741
21 O 0.231 0.460 0.472
22 O 0.241 0.972 0.512
23 O 0.259 0.771 0.731
24 O 0.269 0.741 0.229
25 O 0.271 0.012 0.040
26 O 0.460 0.472 0.231
27 O 0.472 0.231 0.460
28 O 0.488 0.759 0.028
29 O 0.512 0.241 0.972
30 O 0.528 0.769 0.540
31 O 0.540 0.528 0.769
32 O 0.729 0.988 0.960
33 O 0.731 0.259 0.771
34 O 0.741 0.229 0.269
35 O 0.759 0.028 0.488
36 O 0.769 0.540 0.528
37 O 0.771 0.731 0.259
38 O 0.960 0.729 0.988
39 O 0.972 0.512 0.241
40 O 0.988 0.960 0.729


NdO2 | PBEsol | optimized geometry

Summary:
Magnetization, μB per formula unit: 0.0

Cell: 3.826 3.826 3.826 Å, 112.59 112.59 103.41°
Atoms (fractional coordinates):
1 Nd 0.000 0.000 0.000
2 O 0.250 0.750 0.500
3 O 0.750 0.250 0.500


Nd2O5 | PBEsol | optimized geometry

Summary:
Magnetization, μB per formula unit: 0.0

Cell: 6.926 6.926 5.960 Å, 111.30 111.30 47.54°
Atoms (fractional coordinates):
1 Nd 0.101 0.680 0.943
2 Nd 0.320 0.899 0.557
3 Nd 0.680 0.101 0.443
4 Nd 0.899 0.320 0.057
5 O 0.006 0.618 0.276
6 O 0.056 0.944 0.750
7 O 0.279 0.526 0.325
8 O 0.382 0.994 0.224
9 O 0.474 0.721 0.175
10 O 0.526 0.279 0.825
11 O 0.618 0.006 0.776
12 O 0.721 0.474 0.675
13 O 0.944 0.056 0.250
14 O 0.994 0.382 0.724


Nd2O3 | PBEsol | optimized geometry

Summary:
Magnetization, μB per formula unit: 0.0

Cell: 3.823 3.823 5.958 Å, 90.00 90.00 120.00°
Atoms (fractional coordinates):
1 Nd 0.333 0.667 0.247
2 Nd 0.667 0.333 0.753
3 O 0.000 0.000 0.000
4 O 0.333 0.667 0.645
5 O 0.667 0.333 0.355


Nd4Os6O19 | PBEsol | optimized geometry

Summary:
Magnetization, μB per formula unit: 0.0

Cell: 7.787 7.787 7.787 Å, 109.47 109.47 109.47°
Atoms (fractional coordinates):
1 Nd 0.000 0.000 0.309
2 Nd 0.000 0.309 0.000
3 Nd 0.309 0.000 0.000
4 Nd 0.691 0.691 0.691
5 Os 0.138 0.638 0.500
6 Os 0.362 0.500 0.862
7 Os 0.500 0.138 0.638
8 Os 0.500 0.862 0.362
9 Os 0.638 0.500 0.138
10 Os 0.862 0.362 0.500
11 O 0.000 0.000 0.000
12 O 0.000 0.321 0.321
13 O 0.000 0.679 0.679
14 O 0.058 0.332 0.709
15 O 0.274 0.942 0.651
16 O 0.291 0.623 0.349
17 O 0.321 0.000 0.321
18 O 0.321 0.321 0.000
19 O 0.332 0.709 0.058
20 O 0.349 0.291 0.623
21 O 0.377 0.668 0.726
22 O 0.623 0.349 0.291
23 O 0.651 0.274 0.942
24 O 0.668 0.726 0.377
25 O 0.679 0.000 0.679
26 O 0.679 0.679 0.000
27 O 0.709 0.058 0.332
28 O 0.726 0.377 0.668
29 O 0.942 0.651 0.274


NdZnPO | PBEsol | optimized geometry

Summary:
Magnetization, μB per formula unit: 0.0

Cell: 10.500 10.500 10.500 Å, 21.68 21.68 21.68°
Atoms (fractional coordinates):
1 Nd 0.118 0.118 0.118
2 Nd 0.882 0.882 0.882
3 Zn 0.304 0.304 0.304
4 Zn 0.696 0.696 0.696
5 P 0.386 0.386 0.386
6 P 0.614 0.614 0.614
7 O 0.195 0.195 0.195
8 O 0.805 0.805 0.805


NdPd2O4 | PBEsol | optimized geometry

Summary:
Magnetization, μB per formula unit: 0.0

Cell: 6.529 6.529 6.529 Å, 126.96 126.96 78.31°
Atoms (fractional coordinates):
1 Nd 0.375 0.125 0.250
2 Nd 0.625 0.875 0.750
3 Pd 0.000 0.000 0.500
4 Pd 0.000 0.500 0.000
5 Pd 0.000 0.500 0.500
6 Pd 0.500 0.500 0.000
7 O 0.026 0.725 0.900
8 O 0.225 0.825 0.699
9 O 0.325 0.126 0.600
10 O 0.374 0.474 0.199
11 O 0.626 0.526 0.801
12 O 0.675 0.874 0.400
13 O 0.775 0.175 0.301
14 O 0.974 0.275 0.100


Results for raw formation energy: -7.8 -16.9 -8.0 -16.5 -16.9 -53.0 -7.4 -11.3 (in eV per formula unit, following the order of the records).